No. 1
The following is a DFT calculation (PBE-GGA) of a relaxed structure of PuZn6Au12.

The structure in CIF format:
```
data_PuZn6Au12
_space_group_name_H-M_alt 'P 1'
_space_group_IT_number 1
_cell_length_a 7.479
_cell_length_b 7.479
_cell_length_c 7.479
_cell_angle_alpha 105.40
_cell_angle_beta 105.40
_cell_angle_gamma 105.40
loop_
_space_group_symop_operation_xyz
'x,y,z'
loop_
_atom_site_label
_atom_site_fract_x
_atom_site_fract_y
_atom_site_fract_z
Au1 0.874 0.626 0.626
Au2 0.626 0.874 0.626
Au3 0.882 0.500 0.118
Au4 0.118 0.500 0.882
Au5 0.126 0.374 0.374
Au6 0.882 0.118 0.500
Au7 0.500 0.118 0.882
Au8 0.118 0.882 0.500
Au9 0.626 0.626 0.874
Au10 0.500 0.882 0.118
Au11 0.374 0.374 0.126
Au12 0.374 0.126 0.374
Zn1 0.306 0.714 0.714
Zn2 0.694 0.286 0.286
Zn3 0.286 0.694 0.286
Zn4 0.714 0.306 0.714
Zn5 0.714 0.714 0.306
Zn6 0.286 0.286 0.694
Pu1 0.000 0.000 0.000
```

Values from the calculation:
calculated total energy = -0.1236 hartree per atom
energy of formation = -137.7 meV/atom
SG = R-3m

=====

No. 2
The following is a DFT calculation (PBE-GGA) of a relaxed structure of PuZrZnAu.

The structure in CIF format:
```
data_PuZrZnAu
_space_group_name_H-M_alt 'P 1'
_space_group_IT_number 1
_cell_length_a 4.968
_cell_length_b 4.968
_cell_length_c 4.968
_cell_angle_alpha 60.00
_cell_angle_beta 60.00
_cell_angle_gamma 60.00
loop_
_space_group_symop_operation_xyz
'x,y,z'
loop_
_atom_site_label
_atom_site_fract_x
_atom_site_fract_y
_atom_site_fract_z
Zn1 0.750 0.750 0.750
Au1 0.250 0.250 0.250
Pu1 0.000 0.000 0.000
Zr1 0.500 0.500 0.500
```

Values from the calculation:
calculated total energy = -0.2584 hartree per atom
energy of formation = -174.6 meV/atom
SG = F-43m

=====

No. 3
The following is a DFT calculation (PBE-GGA) of a relaxed structure of Pu2ZrAu6.

The structure in CIF format:
```
data_Pu2ZrAu6
_space_group_name_H-M_alt 'P 1'
_space_group_IT_number 1
_cell_length_a 3.014
_cell_length_b 8.408
_cell_length_c 8.408
_cell_angle_alpha 60.00
_cell_angle_beta 89.99
_cell_angle_gamma 89.99
loop_
_space_group_symop_operation_xyz
'x,y,z'
loop_
_atom_site_label
_atom_site_fract_x
_atom_site_fract_y
_atom_site_fract_z
Pu1 0.000 0.333 0.333
Pu2 0.000 0.667 0.667
Au1 0.500 0.670 0.330
Au2 0.501 0.000 0.330
Au3 0.500 0.330 0.670
Au4 0.499 0.670 0.000
Au5 0.499 0.000 0.670
Au6 0.501 0.330 0.000
Zr1 0.000 0.000 0.000
```

Values from the calculation:
calculated total energy = -0.2495 hartree per atom
energy of formation = -468.5 meV/atom
SG = P6/mmm

=====

No. 4
The following is a DFT calculation (PBE-GGA) of a relaxed structure of Pu2ZrAu.

The structure in CIF format:
```
data_Pu2ZrAu
_space_group_name_H-M_alt 'P 1'
_space_group_IT_number 1
_cell_length_a 5.008
_cell_length_b 4.257
_cell_length_c 4.257
_cell_angle_alpha 90.00
_cell_angle_beta 90.00
_cell_angle_gamma 90.00
loop_
_space_group_symop_operation_xyz
'x,y,z'
loop_
_atom_site_label
_atom_site_fract_x
_atom_site_fract_y
_atom_site_fract_z
Au1 0.500 0.000 0.000
Pu1 0.000 0.000 0.500
Pu2 0.000 0.500 0.000
Zr1 0.500 0.500 0.500
```

Values from the calculation:
calculated total energy = -0.3761 hartree per atom
energy of formation = -112.1 meV/atom
distance to the lowest polymorph of the same formula = 0.000 eV/atom
SG = P4/mmm

=====

No. 5
The following is a DFT calculation (PBE-GGA) of a relaxed structure of Pu2ZrAu.

The structure in CIF format:
```
data_Pu2ZrAu
_space_group_name_H-M_alt 'P 1'
_space_group_IT_number 1
_cell_length_a 3.924
_cell_length_b 3.924
_cell_length_c 6.306
_cell_angle_alpha 90.00
_cell_angle_beta 90.00
_cell_angle_gamma 90.00
loop_
_space_group_symop_operation_xyz
'x,y,z'
loop_
_atom_site_label
_atom_site_fract_x
_atom_site_fract_y
_atom_site_fract_z
Pu1 0.000 0.000 0.765
Pu2 0.000 0.000 0.235
Au1 0.500 0.500 0.000
Zr1 0.500 0.500 0.500
```

Values from the calculation:
calculated total energy = -0.3734 hartree per atom
energy of formation = -37.4 meV/atom
distance to the lowest polymorph of the same formula = 0.075 eV/atom
SG = P4/mmm

=====

No. 6
The following is a DFT calculation (PBE-GGA) of a relaxed structure of PuZr2Au.

The structure in CIF format:
```
data_PuZr2Au
_space_group_name_H-M_alt 'P 1'
_space_group_IT_number 1
_cell_length_a 3.258
_cell_length_b 5.098
_cell_length_c 5.098
_cell_angle_alpha 90.00
_cell_angle_beta 90.00
_cell_angle_gamma 90.00
loop_
_space_group_symop_operation_xyz
'x,y,z'
loop_
_atom_site_label
_atom_site_fract_x
_atom_site_fract_y
_atom_site_fract_z
Zr1 0.000 0.500 0.000
Zr2 0.000 0.000 0.500
Au1 0.500 0.000 0.000
Pu1 0.500 0.500 0.500
```

Values from the calculation:
calculated total energy = -0.3263 hartree per atom
energy of formation = -204.0 meV/atom
distance to the lowest polymorph of the same formula = 0.000 eV/atom
SG = P4/mmm

=====

No. 7
The following is a DFT calculation (PBE-GGA) of a relaxed structure of PuZr2Au.

The structure in CIF format:
```
data_PuZr2Au
_space_group_name_H-M_alt 'P 1'
_space_group_IT_number 1
_cell_length_a 3.338
_cell_length_b 3.338
_cell_length_c 7.863
_cell_angle_alpha 90.00
_cell_angle_beta 90.00
_cell_angle_gamma 90.00
loop_
_space_group_symop_operation_xyz
'x,y,z'
loop_
_atom_site_label
_atom_site_fract_x
_atom_site_fract_y
_atom_site_fract_z
Zr1 0.000 0.000 0.732
Zr2 0.000 0.000 0.268
Pu1 0.500 0.500 0.000
Au1 0.500 0.500 0.500
```

Values from the calculation:
calculated total energy = -0.3263 hartree per atom
energy of formation = -202.0 meV/atom
distance to the lowest polymorph of the same formula = 0.002 eV/atom
SG = P4/mmm

=====

No. 8
The following is a DFT calculation (PBE-GGA) of a relaxed structure of PuZr2Au.

The structure in CIF format:
```
data_PuZr2Au
_space_group_name_H-M_alt 'P 1'
_space_group_IT_number 1
_cell_length_a 3.262
_cell_length_b 3.262
_cell_length_c 9.957
_cell_angle_alpha 80.57
_cell_angle_beta 80.57
_cell_angle_gamma 60.00
loop_
_space_group_symop_operation_xyz
'x,y,z'
loop_
_atom_site_label
_atom_site_fract_x
_atom_site_fract_y
_atom_site_fract_z
Pu1 0.499 0.499 0.502
Zr1 0.078 0.078 0.766
Zr2 0.255 0.255 0.234
Au1 0.667 0.667 0.998
```

Values from the calculation:
calculated total energy = -0.3203 hartree per atom
energy of formation = -38.6 meV/atom
distance to the lowest polymorph of the same formula = 0.165 eV/atom
SG = R3m

=====

No. 9
The following is a DFT calculation (PBE-GGA) of a relaxed structure of PuZr2Au3.

The structure in CIF format:
```
data_PuZr2Au3
_space_group_name_H-M_alt 'P 1'
_space_group_IT_number 1
_cell_length_a 3.164
_cell_length_b 3.164
_cell_length_c 12.471
_cell_angle_alpha 90.00
_cell_angle_beta 90.00
_cell_angle_gamma 90.00
loop_
_space_group_symop_operation_xyz
'x,y,z'
loop_
_atom_site_label
_atom_site_fract_x
_atom_site_fract_y
_atom_site_fract_z
Pu1 0.500 0.500 0.500
Zr1 0.500 0.500 0.839
Zr2 0.500 0.500 0.161
Au1 0.000 0.000 0.682
Au2 0.000 0.000 0.318
Au3 0.000 0.000 0.000
```

Values from the calculation:
calculated total energy = -0.2689 hartree per atom
energy of formation = -440.0 meV/atom
SG = P4/mmm

=====

No. 10
The following is a DFT calculation (PBE-GGA) of a relaxed structure of PuZr2Au.

The structure in CIF format:
```
data_PuZr2Au
_space_group_name_H-M_alt 'P 1'
_space_group_IT_number 1
_cell_length_a 3.111
_cell_length_b 3.111
_cell_length_c 11.077
_cell_angle_alpha 81.93
_cell_angle_beta 81.93
_cell_angle_gamma 60.00
loop_
_space_group_symop_operation_xyz
'x,y,z'
loop_
_atom_site_label
_atom_site_fract_x
_atom_site_fract_y
_atom_site_fract_z
Au1 0.500 0.500 0.500
Pu1 0.000 0.000 0.000
Zr1 0.906 0.906 0.281
Zr2 0.094 0.094 0.719
```

Values from the calculation:
calculated total energy = -0.3124 hartree per atom
energy of formation = 174.4 meV/atom
distance to the lowest polymorph of the same formula = 0.378 eV/atom
SG = R-3m